# GGA-PBE Cs3Ag9Sb4S12, relaxed
data_Cs3Ag9Sb4S12
_cell_length_a 11.249
_cell_length_b 11.249
_cell_length_c 11.991
_cell_angle_alpha 90.00
_cell_angle_beta 90.00
_cell_angle_gamma 90.00
_space_group_name_H-M_alt 'I -4'
_space_group_IT_number 82
loop_
_space_group_symop_operation_xyz
'x,y,z'
'y,-x,-z'
'-x,-y,z'
'-y,x,-z'
'x+1/2,y+1/2,z+1/2'
'y+1/2,-x+1/2,-z+1/2'
'-x+1/2,-y+1/2,z+1/2'
'-y+1/2,x+1/2,-z+1/2'
loop_
_atom_site_label
_atom_site_type_symbol
_atom_site_fract_x
_atom_site_fract_y
_atom_site_fract_z
_atom_site_occupancy
Cs1 Cs 0.000 0.000 0.000 1
Cs2 Cs 0.000 0.000 0.329 1
Ag1 Ag 0.000 0.500 0.250 1
Ag2 Ag 0.161 0.337 0.827 1
Ag3 Ag 0.174 0.679 0.329 1
Sb1 Sb 0.113 0.372 0.510 1
S1 S 0.047 0.719 0.156 1
S2 S 0.050 0.741 0.839 1
S3 S 0.171 0.802 0.503 1
# - formation energy without anion corrections (eV per formula unit) = -10.5